The following is a PBE calculation of a relaxed structure of Os2RhO8, from the Alexandria database.

Properties
- energy (eV per atom) = -6.926
- volume (A^3/atom) = 16.8
- energy relative to the elements, uncorrected (eV per atom) = -0.6102

Lattice parameters (Å, degrees): 7.126 7.126 3.779 97.61 97.61 78.60
Fractional positions:
Os 0.248 0.248 0.116
Os 0.752 0.752 0.884
Rh 0.000 0.000 0.000
O 0.020 0.710 0.936
O 0.247 0.247 0.619
O 0.290 0.980 0.064
O 0.406 0.406 0.202
O 0.594 0.594 0.798
O 0.710 0.020 0.936
O 0.753 0.753 0.381
O 0.980 0.290 0.064



The following is a PBE calculation of a relaxed structure of Os2RhO, from the Alexandria database.

Properties
- energy (eV per atom) = -7.923
- volume (A^3/atom) = 15.7
- energy relative to the elements, uncorrected (eV per atom) = 0.7697

Lattice parameters (Å, degrees): 7.326 7.326 7.326 145.50 145.50 49.59
Fractional positions:
Os 0.010 0.625 0.885
Os 0.375 0.260 0.385
Os 0.740 0.125 0.115
Os 0.875 0.990 0.615
Rh 0.250 0.750 0.500
Rh 0.500 0.500 0.000
O 0.000 0.000 0.000
O 0.750 0.250 0.500



The following is a PBE calculation of a relaxed structure of OsRhO3, from the Alexandria database.

Properties
- energy (eV per atom) = -5.951
- volume (A^3/atom) = 11.8
- energy relative to the elements, uncorrected (eV per atom) = 0.7401

Lattice parameters (Å, degrees): 3.891 3.891 3.891 90.00 90.00 90.00
Fractional positions:
Os 0.000 0.000 0.000
Rh 0.500 0.500 0.500
O 0.000 0.500 0.500
O 0.500 0.000 0.500
O 0.500 0.500 0.000



The following is a PBE calculation of a relaxed structure of OsRhO3, from the Alexandria database.

Properties
- energy (eV per atom) = -6.719
- volume (A^3/atom) = 11.5
- energy relative to the elements, uncorrected (eV per atom) = -0.0280

Lattice parameters (Å, degrees): 3.859 3.859 3.859 90.00 90.00 90.00
Fractional positions:
Os 0.000 0.000 0.000
Rh 0.500 0.500 0.500
O 0.000 0.000 0.500
O 0.000 0.500 0.000
O 0.500 0.000 0.000



The following is a PBE calculation of a relaxed structure of Os2RhO6, from the Alexandria database.

Properties
- energy (eV per atom) = -7.459
- volume (A^3/atom) = 10.8
- energy relative to the elements, uncorrected (eV per atom) = -0.8416

Lattice parameters (Å, degrees): 8.740 8.740 4.401 90.00 90.00 120.00
Fractional positions:
Os 0.000 0.347 0.000
Os 0.000 0.681 0.500
Os 0.319 0.319 0.500
Os 0.347 0.000 0.000
Os 0.653 0.653 0.000
Os 0.681 0.000 0.500
Rh 0.000 0.000 0.000
Rh 0.333 0.667 0.496
Rh 0.667 0.333 0.504
O 0.105 0.566 0.248
O 0.110 0.229 0.240
O 0.119 0.890 0.240
O 0.208 0.435 0.740
O 0.227 0.792 0.740
O 0.229 0.110 0.760
O 0.434 0.539 0.248
O 0.435 0.208 0.260
O 0.461 0.895 0.248
O 0.539 0.434 0.752
O 0.565 0.773 0.740
O 0.566 0.105 0.752
O 0.771 0.881 0.240
O 0.773 0.565 0.260
O 0.792 0.227 0.260
O 0.881 0.771 0.760
O 0.890 0.119 0.760
O 0.895 0.461 0.752



The following is a PBE calculation of a relaxed structure of Os2RhSO, from the Alexandria database.

Properties
- energy (eV per atom) = -6.626
- volume (A^3/atom) = 13.9
- energy relative to the elements, uncorrected (eV per atom) = 1.1531

Lattice parameters (Å, degrees): 4.559 4.559 3.347 90.00 90.00 90.00
Fractional positions:
Os 0.000 0.500 0.000
Os 0.500 0.000 0.000
Rh 0.000 0.000 0.500
S 0.500 0.500 0.000
O 0.500 0.500 0.500



The following is a PBE calculation of a relaxed structure of Sc2OsRhO, from the Alexandria database.

Properties
- energy (eV per atom) = -8.260
- volume (A^3/atom) = 15.0
- energy relative to the elements, uncorrected (eV per atom) = -1.0190

Lattice parameters (Å, degrees): 4.368 4.368 3.932 90.00 90.00 90.00
Fractional positions:
Sc 0.000 0.500 0.000
Sc 0.500 0.000 0.000
Os 0.000 0.000 0.500
Rh 0.500 0.500 0.500
O 0.000 0.000 0.000



The following is a PBE calculation of a relaxed structure of Os2RhSeO, from the Alexandria database.

Properties
- energy (eV per atom) = -5.604
- volume (A^3/atom) = 19.2
- energy relative to the elements, uncorrected (eV per atom) = 2.0467

Lattice parameters (Å, degrees): 4.565 4.565 4.609 90.00 90.00 90.00
Fractional positions:
Os 0.000 0.500 0.000
Os 0.500 0.000 0.000
Rh 0.000 0.000 0.500
Se 0.000 0.000 0.000
O 0.500 0.500 0.500



The following is a PBE calculation of a relaxed structure of SrOs2RhO, from the Alexandria database.

Properties
- energy (eV per atom) = -6.621
- volume (A^3/atom) = 16.1
- energy relative to the elements, uncorrected (eV per atom) = 0.6693

Lattice parameters (Å, degrees): 4.157 4.157 4.664 90.00 90.00 90.00
Fractional positions:
Sr 0.000 0.000 0.000
Os 0.000 0.500 0.500
Os 0.500 0.000 0.500
Rh 0.500 0.500 0.000
O 0.500 0.500 0.500



The following is a PBE calculation of a relaxed structure of SrOs2RhO8, from the Alexandria database.

Properties
- energy (eV per atom) = -7.111
- volume (A^3/atom) = 12.5
- energy relative to the elements, uncorrected (eV per atom) = -1.1815

Lattice parameters (Å, degrees): 4.826 4.826 6.455 90.28 90.28 87.49
Fractional positions:
Sr 0.000 0.000 0.000
Os 0.500 0.500 0.257
Os 0.500 0.500 0.743
Rh 0.000 0.000 0.500
O 0.220 0.777 0.282
O 0.223 0.780 0.718
O 0.311 0.311 0.500
O 0.337 0.337 0.998
O 0.663 0.663 0.002
O 0.689 0.689 0.500
O 0.777 0.220 0.282
O 0.780 0.223 0.718



The following is a PBE calculation of a relaxed structure of SrOsRh2O8, from the Alexandria database.

Properties
- energy (eV per atom) = -6.691
- volume (A^3/atom) = 12.4
- energy relative to the elements, uncorrected (eV per atom) = -1.0847

Lattice parameters (Å, degrees): 4.745 6.577 4.753 90.00 92.12 90.00
Fractional positions:
Sr 0.000 0.000 0.000
Os 0.000 0.500 0.000
Rh 0.500 0.254 0.500
Rh 0.500 0.746 0.500
O 0.204 0.295 0.202
O 0.204 0.705 0.202
O 0.292 0.500 0.707
O 0.333 0.000 0.664
O 0.667 0.000 0.336
O 0.708 0.500 0.293
O 0.796 0.295 0.798
O 0.796 0.705 0.798



The following is a PBE calculation of a relaxed structure of Sr2OsRhO8, from the Alexandria database.

Properties
- energy (eV per atom) = -6.666
- volume (A^3/atom) = 15.0
- energy relative to the elements, uncorrected (eV per atom) = -1.5314

Lattice parameters (Å, degrees): 5.285 6.149 6.192 76.31 70.08 74.83
Fractional positions:
Sr 0.118 0.182 0.158
Sr 0.882 0.818 0.842
Os 0.500 0.500 0.500
Rh 0.500 0.000 0.500
O 0.273 0.806 0.442
O 0.284 0.470 0.802
O 0.290 0.327 0.429
O 0.301 0.970 0.821
O 0.699 0.030 0.179
O 0.710 0.673 0.571
O 0.716 0.530 0.198
O 0.727 0.194 0.558